(1)
Computed, not measured: crystalline Mg3Ru at its relaxed geometry at the GGA-PBEsol level of DFT.

a = 5.012 Å, b = 5.012 Å, c = 5.012 Å
α = 132.09°, β = 132.09°, γ = 70.09°
Element x y z (fractional)
Mg: 0.000 0.000 0.000
Mg: 0.250 0.750 0.500
Mg: 0.750 0.250 0.500
Ru: 0.500 0.500 0.000

Calculated values
Symmetry = I4/mmm
VASP energy = -3.749 eV/atom

---

(2)
Computed, not measured: crystalline Mg3Ru at its relaxed geometry at the GGA-PBEsol level of DFT.

a = 4.636 Å, b = 5.681 Å, c = 5.181 Å
α = 90.00°, β = 90.00°, γ = 90.00°
Element x y z (fractional)
Mg: 0.250 0.001 0.162
Mg: 0.250 0.499 0.162
Mg: 0.250 0.750 0.630
Mg: 0.750 0.250 0.370
Mg: 0.750 0.501 0.838
Mg: 0.750 0.999 0.838
Ru: 0.250 0.250 0.664
Ru: 0.750 0.750 0.336

Calculated values
Symmetry = Pmmn
VASP energy = -3.788 eV/atom

---

(3)
Computed, not measured: crystalline Mg4Ru at its relaxed geometry at the GGA-PBEsol level of DFT.

a = 5.079 Å, b = 5.079 Å, c = 5.079 Å
α = 99.73°, β = 99.73°, γ = 131.45°
Element x y z (fractional)
Mg: 0.110 0.715 0.824
Mg: 0.285 0.110 0.395
Mg: 0.715 0.890 0.605
Mg: 0.890 0.285 0.176
Ru: 0.500 0.500 0.000

Calculated values
Symmetry = I4/m
VASP energy = -3.354 eV/atom

---

(4)
Computed, not measured: crystalline MgRu at its relaxed geometry at the GGA-PBEsol level of DFT.

a = 2.851 Å, b = 2.851 Å, c = 8.021 Å
α = 90.00°, β = 90.00°, γ = 90.00°
Element x y z (fractional)
Mg: 0.250 0.250 0.165
Mg: 0.750 0.750 0.835
Ru: 0.250 0.250 0.597
Ru: 0.750 0.750 0.403

Calculated values
Symmetry = P4/nmm
VASP energy = -5.926 eV/atom

---

(5)
Computed, not measured: crystalline MgRu3 at its relaxed geometry at the GGA-PBEsol level of DFT.

a = 4.799 Å, b = 4.799 Å, c = 4.799 Å
α = 134.32°, β = 134.32°, γ = 66.58°
Element x y z (fractional)
Mg: 0.000 0.000 0.000
Ru: 0.250 0.750 0.500
Ru: 0.500 0.500 0.000
Ru: 0.750 0.250 0.500

Calculated values
Symmetry = I4/mmm
VASP energy = -7.786 eV/atom

---

(6)
Computed, not measured: crystalline MgRuS2 at its relaxed geometry at the GGA-PBEsol level of DFT.

a = 6.816 Å, b = 6.816 Å, c = 6.816 Å
α = 134.68°, β = 134.68°, γ = 66.02°
Element x y z (fractional)
Mg: 0.000 0.000 0.000
Mg: 0.750 0.250 0.500
Ru: 0.250 0.750 0.500
Ru: 0.500 0.500 0.000
S: 0.159 0.625 0.034
S: 0.375 0.409 0.534
S: 0.591 0.125 0.966
S: 0.875 0.841 0.466

Calculated values
Symmetry = I-42d
VASP energy = -5.664 eV/atom
Raw formation energy = -0.4997 eV/atom

---

(7)
Computed, not measured: crystalline MgSbRu2 at its relaxed geometry at the GGA-PBEsol level of DFT.

a = 5.114 Å, b = 5.114 Å, c = 2.941 Å
α = 104.66°, β = 104.66°, γ = 110.52°
Element x y z (fractional)
Mg: 0.000 0.000 0.000
Sb: 0.500 0.500 0.000
Ru: 0.000 0.500 0.500
Ru: 0.500 0.000 0.500

Calculated values
Symmetry = C2/m
VASP energy = -6.420 eV/atom
Raw formation energy = 0.2351 eV/atom
Energy above the most stable polymorph in this dataset = 0.4228 eV/atom

---

(8)
Computed, not measured: crystalline MgSbRu3 at its relaxed geometry at the GGA-PBEsol level of DFT.

a = 4.421 Å, b = 4.421 Å, c = 4.421 Å
α = 90.00°, β = 90.00°, γ = 90.00°
Element x y z (fractional)
Mg: 0.000 0.000 0.000
Sb: 0.500 0.500 0.500
Ru: 0.000 0.000 0.500
Ru: 0.000 0.500 0.000
Ru: 0.500 0.000 0.000

Calculated values
Symmetry = Pm-3m
VASP energy = -5.802 eV/atom
Raw formation energy = 1.5560 eV/atom

---

(9)
Computed, not measured: crystalline Mg2SbRu2 at its relaxed geometry at the GGA-PBEsol level of DFT.

a = 6.492 Å, b = 6.492 Å, c = 4.281 Å
α = 90.00°, β = 90.00°, γ = 90.00°
Element x y z (fractional)
Mg: 0.162 0.338 0.000
Mg: 0.338 0.838 0.000
Mg: 0.662 0.162 0.000
Mg: 0.838 0.662 0.000
Sb: 0.000 0.000 0.500
Sb: 0.500 0.500 0.500
Ru: 0.135 0.635 0.500
Ru: 0.365 0.135 0.500
Ru: 0.635 0.865 0.500
Ru: 0.865 0.365 0.500

Calculated values
Symmetry = P4/mbm
VASP energy = -5.752 eV/atom
Raw formation energy = -0.0847 eV/atom

---

(10)
Computed, not measured: crystalline Mg2SbRu at its relaxed geometry at the GGA-PBEsol level of DFT.

a = 3.397 Å, b = 3.397 Å, c = 6.423 Å
α = 90.00°, β = 90.00°, γ = 90.00°
Element x y z (fractional)
Mg: 0.000 0.000 0.000
Mg: 0.500 0.500 0.282
Sb: 0.500 0.500 0.722
Ru: 0.000 0.000 0.520

Calculated values
Symmetry = P4mm
VASP energy = -4.581 eV/atom
Raw formation energy = -0.0402 eV/atom

---

(11)
Computed, not measured: crystalline MgSbRu2 at its relaxed geometry at the GGA-PBEsol level of DFT.

a = 4.400 Å, b = 4.400 Å, c = 3.151 Å
α = 90.00°, β = 90.00°, γ = 90.00°
Element x y z (fractional)
Mg: 0.000 0.000 0.000
Sb: 0.500 0.500 0.000
Ru: 0.000 0.500 0.500
Ru: 0.500 0.000 0.500

Calculated values
Symmetry = P4/mmm
VASP energy = -6.766 eV/atom
Raw formation energy = -0.1109 eV/atom
Energy above the most stable polymorph in this dataset = 0.0768 eV/atom

---

(12)
Computed, not measured: crystalline MgSbRu2 at its relaxed geometry at the GGA-PBEsol level of DFT.

a = 5.027 Å, b = 5.027 Å, c = 4.590 Å
α = 108.84°, β = 108.84°, γ = 35.22°
Element x y z (fractional)
Mg: 0.000 0.000 0.000
Sb: 0.226 0.226 0.619
Ru: 0.482 0.482 0.499
Ru: 0.750 0.750 0.121

Calculated values
Symmetry = Cm
VASP energy = -6.663 eV/atom
Raw formation energy = -0.0086 eV/atom
Energy above the most stable polymorph in this dataset = 0.1791 eV/atom

---

> Look up the VASP energy of the third one.

-3.354 eV/atom

---

> The highest VASP energy belongs to which entry?

Mg4Ru

---

> Among the records above, which one has the lowest VASP energy?

MgRu3

---

> What is the VASP energy in the eleventh record?

-6.766 eV/atom